Compound: BPdS2Cl
Source: Alexandria via LeMat-Bulk
Functional: PBE-GGA
Structure: relaxed

Cell lengths 4.679, 4.679, 4.967 Å; angles 90.00, 90.00, 90.00 degrees
Space group P4/mmm (No. 123)
Inequivalent atoms, fractional coordinates:
B  0.000  0.000  0.000
Pd  0.500  0.500  0.500
S  0.000  0.500  0.500
Cl  0.500  0.500  0.000

Output
D(E_F)   1.002 states/eV per atom
Raw formation energy   5.89 eV per formula unit
E   -3.22 eV per atom
Calculated density   3.310 Mg/m³

Compound: SrRe2Te
Source: Alexandria via LeMat-Bulk
Functional: PBE-GGA
Structure: relaxed

Cell lengths 4.444, 4.638, 5.192 Å; angles 90.00, 90.00, 90.00 degrees
Space group Pmmm (No. 47)
Inequivalent atoms, fractional coordinates:
Sr  0.000  0.000  0.000
Re  0.500  0.500  0.217
Te  0.500  0.000  0.500

Output
D(E_F)   1.162 states/eV per atom
Raw formation energy   3.12 eV per formula unit
E   -6.65 eV per atom
Calculated density   9.117 Mg/m³

Compound: NiMo3Pd
Source: Alexandria via LeMat-Bulk
Functional: PBE-GGA
Structure: relaxed

Cell lengths 4.690, 4.690, 4.690 Å; angles 90.00, 90.00, 90.00 degrees
Space group Pm-3m (No. 221)
Inequivalent atoms, fractional coordinates:
Ni  0.000  0.000  0.000
Mo  0.000  0.500  0.500
Pd  0.500  0.500  0.500

Output
Formation enthalpy at 0 K   2.21 eV/atom
D(E_F)   2.607 states/eV per atom
E   -6.48 eV per atom
Calculated density   7.292 Mg/m³

Compound: La2CuAgN
Source: Alexandria via LeMat-Bulk
Functional: PBE-GGA
Structure: relaxed

Cell lengths 5.224, 5.224, 3.905 Å; angles 90.00, 90.00, 90.00 degrees
Space group P4/mmm (No. 123)
Inequivalent atoms, fractional coordinates:
La  0.000  0.500  0.000
Cu  0.000  0.000  0.500
Ag  0.500  0.500  0.500
N  0.000  0.000  0.000

Output
D(E_F)   0.864 states/eV per atom
Raw formation energy   -2.50 eV per formula unit
E   -5.53 eV per atom
Calculated density   7.218 Mg/m³

Compound: TcNi2Cl
Source: Alexandria via LeMat-Bulk
Functional: PBE-GGA
Structure: relaxed

Cell lengths 4.907, 7.972, 2.705 Å; angles 90.00, 90.00, 90.00 degrees
Space group Cmmm (No. 65)
Inequivalent atoms, fractional coordinates:
Tc  0.000  0.000  0.000
Ni  0.250  0.250  0.500
Cl  0.000  0.500  0.000

Output
D(E_F)   1.633 states/eV per atom
Raw formation energy   2.50 eV per formula unit
E   -5.32 eV per atom
Calculated density   7.872 Mg/m³

Compound: KCa2Re
Source: Alexandria via LeMat-Bulk
Functional: PBE-GGA
Structure: relaxed

Cell lengths 8.244, 8.244, 11.646 Å; angles 90.00, 90.00, 90.00 degrees
Space group I-42d (No. 122)
Inequivalent atoms, fractional coordinates:
K  0.000  0.000  0.000
Ca  0.001  0.750  0.625
Re  0.000  0.000  0.500

Output
Formation enthalpy at 0 K   1.37 eV/atom
D(E_F)   1.395 states/eV per atom
E   -3.01 eV per atom
Calculated density   2.564 Mg/m³

Compound: KSm4Te6
Source: Alexandria via LeMat-Bulk
Functional: PBE-GGA
Structure: relaxed

Cell lengths 4.495, 14.828, 23.538 Å; angles 90.00, 90.00, 90.00 degrees
Space group Cmcm (No. 63)
Inequivalent atoms, fractional coordinates:
K  0.000  0.161  0.250
Sm  0.000  0.093  0.631
Sm  0.000  0.365  0.541
Te  0.000  0.000  0.000
Te  0.000  0.160  0.750
Te  0.000  0.272  0.083
Te  0.000  0.456  0.657

Output
D(E_F)   0.251 states/eV per atom
Raw formation energy   -15.16 eV per formula unit
E   -4.91 eV per atom
Calculated density   5.954 Mg/m³

Compound: Nd4Sm3Y4
Source: Alexandria via LeMat-Bulk
Functional: PBE-GGA
Structure: relaxed

Cell lengths 3.614, 9.438, 22.442 Å; angles 90.00, 90.00, 90.00 degrees
Space group Immm (No. 71)
Inequivalent atoms, fractional coordinates:
Nd  0.000  0.177  0.144
Sm  0.000  0.000  0.391
Sm  0.000  0.500  0.500
Y  0.000  0.318  0.000
Y  0.000  0.500  0.241

Output
Formation enthalpy at 0 K   0.13 eV/atom
D(E_F)   1.520 states/eV per atom
E   -5.24 eV per atom
Calculated density   6.003 Mg/m³